Record 1
Cs2Hg2Br7 | PBE | relaxed Values from VASP.

Cell and atoms, written as Quantum ESPRESSO input:
```
&SYSTEM
  ibrav = 0, nat = 11, ntyp = 3
/
ATOMIC_SPECIES
Cs 132.91 Cs.upf
Hg 200.59 Hg.upf
Br 79.90 Br.upf
ATOMIC_POSITIONS crystal
Cs 0.0000 0.2399 0.7601
Cs 0.0000 0.7601 0.2399
Hg 0.5071 0.2432 0.2432
Hg 0.4929 0.7568 0.7568
Br 0.6982 0.8995 0.5479
Br 0.3018 0.4521 0.1005
Br 0.3018 0.1005 0.4521
Br 0.6982 0.5479 0.8995
Br 0.5000 0.0000 0.0000
Br 0.1253 0.6822 0.6822
Br 0.8747 0.3178 0.3178
CELL_PARAMETERS angstrom
6.9476 -0.0902 -0.1031
-0.6366 8.4570 0.3038
-0.6366 -0.8239 8.4223
```

Calculated values
- Energy above the most stable polymorph in this dataset: 0.049 eV/atom
- Total moment: 1.08 μB/f.u.
- DOS at the Fermi energy: 6.91 states/eV/f.u.

=====

Record 2
CsHgBr | PBE | relaxed Values from VASP.

Cell and atoms, written as Quantum ESPRESSO input:
```
&SYSTEM
  ibrav = 0, nat = 6, ntyp = 3
/
ATOMIC_SPECIES
Cs 132.91 Cs.upf
Hg 200.59 Hg.upf
Br 79.90 Br.upf
ATOMIC_POSITIONS crystal
Cs 0.8024 0.8024 0.3289
Cs 0.2087 0.2087 0.9949
Hg 0.2687 0.2687 0.6364
Hg 0.7440 0.7440 0.6875
Br 0.7099 0.7099 0.0012
Br 0.3012 0.3012 0.3225
CELL_PARAMETERS angstrom
5.1218 0.0114 -0.3877
-0.0226 5.1218 -0.3877
-0.5577 -0.5614 11.2504
```

Calculated values
- Energy above the most stable polymorph in this dataset: 0.000 eV/atom
- Total moment: 0.00 μB/f.u.
- DOS at the Fermi energy: 0.00 states/eV/f.u.